# 1
A plane-wave DFT calculation with PBE-GGA was carried out for a relaxed structure of Dy3YTl.

Cell and atoms, written as POSCAR:
```
Dy3YTl
1.0
7.304 -6.565 0.000
7.304 6.565 0.000
-1.574 0.000 6.364
Dy Y Tl
12 4 4
direct
0.094 0.712 0.526
0.124 0.498 0.859
0.231 0.376 0.357
0.288 0.906 0.974
0.376 0.231 0.857
0.498 0.124 0.359
0.502 0.876 0.641
0.624 0.769 0.143
0.712 0.094 0.026
0.769 0.624 0.643
0.876 0.502 0.141
0.906 0.288 0.474
0.036 0.173 0.961
0.173 0.036 0.461
0.827 0.964 0.539
0.964 0.827 0.039
0.331 0.669 0.250
0.418 0.582 0.750
0.582 0.418 0.250
0.669 0.331 0.750
```

Results
magnetization	0.000	μB per formula unit
distance to the lowest polymorph of the same formula	0.081	eV per atom

***

# 2
A plane-wave DFT calculation with PBE-GGA was carried out for a relaxed structure of Dy4YTl.

Cell and atoms, written as POSCAR:
```
Dy4YTl
1.0
5.254 -3.040 0.000
5.254 3.040 0.000
-3.638 0.000 11.230
Dy Y Tl
8 2 2
direct
0.159 0.682 0.503
0.252 0.412 0.750
0.318 0.841 0.997
0.412 0.252 0.250
0.588 0.748 0.750
0.682 0.159 0.003
0.748 0.588 0.250
0.841 0.318 0.497
0.000 0.500 0.000
0.500 0.000 0.500
0.088 0.912 0.250
0.912 0.088 0.750
```

Results
magnetization	0.000	μB per formula unit
distance to the lowest polymorph of the same formula	0.041	eV per atom

***

# 3
A plane-wave DFT calculation with PBE-GGA was carried out for a relaxed structure of DyY2Tl2.

Cell and atoms, written as POSCAR:
```
DyY2Tl2
1.0
5.791 0.000 0.000
0.000 3.711 0.000
-1.349 0.000 13.985
Dy Y Tl
2 4 4
direct
0.199 0.250 0.250
0.801 0.750 0.750
0.242 0.750 0.465
0.311 0.250 0.882
0.689 0.750 0.118
0.758 0.250 0.535
0.188 0.750 0.057
0.287 0.250 0.660
0.713 0.750 0.340
0.812 0.250 0.943
```

Results
magnetization	0.671	μB per formula unit
distance to the lowest polymorph of the same formula	0.155	eV per atom

***

# 4
A plane-wave DFT calculation with PBE-GGA was carried out for a relaxed structure of DyY4Tl5.

Cell and atoms, written as POSCAR:
```
DyY4Tl5
1.0
3.762 0.000 0.000
0.000 3.762 0.000
0.000 0.000 19.382
Dy Y Tl
1 4 5
direct
0.000 0.000 0.000
0.000 0.000 0.200
0.000 0.000 0.400
0.000 0.000 0.600
0.000 0.000 0.800
0.500 0.500 0.099
0.500 0.500 0.300
0.500 0.500 0.500
0.500 0.500 0.700
0.500 0.500 0.901
```

Results
total DFT energy (no corrections)	-46.0	eV for the cell shown
magnetization	0.000	μB per formula unit

***

# 5
A plane-wave DFT calculation with PBE-GGA was carried out for a relaxed structure of Dy2YTl.

Cell and atoms, written as POSCAR:
```
Dy2YTl
1.0
4.842 0.000 0.000
0.000 4.842 0.000
0.000 0.000 4.884
Dy Y Tl
2 1 1
direct
0.000 0.500 0.000
0.500 0.000 0.000
0.000 0.000 0.500
0.500 0.500 0.500
```

Results
magnetization	0.992	μB per formula unit
distance to the lowest polymorph of the same formula	0.014	eV per atom

***

# 6
A plane-wave DFT calculation with PBE-GGA was carried out for a relaxed structure of Dy2YTl2Zn2.

Cell and atoms, written as POSCAR:
```
Dy2YTl2Zn2
1.0
2.374 1.371 9.017
-2.374 1.371 9.017
0.000 -2.741 9.017
Dy Y Tl Zn
2 1 2 2
direct
0.129 0.129 0.129
0.871 0.871 0.871
0.000 0.000 0.000
0.266 0.266 0.266
0.734 0.734 0.734
0.413 0.413 0.413
0.587 0.587 0.587
```

Results
total DFT energy (no corrections)	-24.0	eV for the cell shown
magnetization	0.000	μB per formula unit

***

# 7
A plane-wave DFT calculation with PBE-GGA was carried out for a relaxed structure of Dy6TlZn.

Cell and atoms, written as POSCAR:
```
Dy6TlZn
1.0
-2.516 2.516 9.026
2.516 -2.516 9.026
2.516 2.516 -9.026
Dy Tl Zn
6 1 1
direct
0.111 0.611 0.500
0.249 0.249 0.000
0.389 0.889 0.500
0.611 0.111 0.500
0.751 0.751 0.000
0.889 0.389 0.500
0.500 0.500 0.000
0.000 0.000 0.000
```

Results
total DFT energy (no corrections)	-32.4	eV for the cell shown
magnetization	0.000	μB per formula unit

***

# 8
A plane-wave DFT calculation with PBE-GGA was carried out for a relaxed structure of DyTlZn.

Cell and atoms, written as POSCAR:
```
DyTlZn
1.0
4.708 0.000 0.000
-2.354 4.077 0.000
0.000 0.000 7.257
Dy Tl Zn
2 2 2
direct
0.000 0.000 0.000
0.000 0.000 0.500
0.333 0.667 0.250
0.667 0.333 0.750
0.333 0.667 0.750
0.667 0.333 0.250
```

Results
total DFT energy (no corrections)	-18.3	eV for the cell shown
magnetization	0.000	μB per formula unit

***

# 9
A plane-wave DFT calculation with PBE-GGA was carried out for a relaxed structure of Dy3Tl3Zn2.

Cell and atoms, written as POSCAR:
```
Dy3Tl3Zn2
1.0
7.763 0.000 0.000
-3.882 6.723 0.000
0.000 0.000 3.808
Dy Tl Zn
3 3 2
direct
0.000 0.606 0.000
0.394 0.394 0.000
0.606 0.000 0.000
0.000 0.251 0.500
0.251 0.000 0.500
0.749 0.749 0.500
0.333 0.667 0.500
0.667 0.333 0.500
```

Results
total DFT energy (no corrections)	-25.7	eV for the cell shown
magnetization	0.000	μB per formula unit

***

# 10
A plane-wave DFT calculation with PBE-GGA was carried out for a relaxed structure of Dy6TlZn5.

Cell and atoms, written as POSCAR:
```
Dy6TlZn5
1.0
5.085 0.000 0.000
0.000 7.255 0.000
-2.532 0.000 7.666
Dy Tl Zn
6 1 5
direct
0.000 0.239 0.000
0.000 0.761 0.000
0.329 0.243 0.658
0.329 0.757 0.658
0.671 0.243 0.342
0.671 0.757 0.342
0.500 0.500 0.000
0.166 0.000 0.332
0.170 0.500 0.339
0.500 0.000 0.000
0.830 0.500 0.661
0.834 0.000 0.668
```

Results
total DFT energy (no corrections)	-40.4	eV for the cell shown
magnetization	0.000	μB per formula unit

***

# 11
A plane-wave DFT calculation with PBE-GGA was carried out for a relaxed structure of Dy4TlZn2.

Cell and atoms, written as POSCAR:
```
Dy4TlZn2
1.0
2.470 1.426 9.297
-2.470 1.426 9.297
0.000 -2.852 9.297
Dy Tl Zn
4 1 2
direct
0.117 0.117 0.117
0.299 0.299 0.299
0.701 0.701 0.701
0.883 0.883 0.883
0.500 0.500 0.500
0.402 0.402 0.402
0.598 0.598 0.598
```

Results
magnetization	0.000	μB per formula unit
distance to the lowest polymorph of the same formula	0.121	eV per atom

***

# 12
A plane-wave DFT calculation with PBE-GGA was carried out for a relaxed structure of DyTlZn.

Cell and atoms, written as POSCAR:
```
DyTlZn
1.0
-2.353 3.638 4.109
2.353 -3.638 4.109
2.353 3.638 -4.109
Dy Tl Zn
2 2 2
direct
0.000 0.000 0.000
0.503 0.003 0.500
0.402 0.669 0.732
0.937 0.669 0.268
0.026 0.332 0.694
0.639 0.332 0.306
```

Results
total DFT energy (no corrections)	-18.3	eV for the cell shown
magnetization	0.000	μB per formula unit

***

# 13
A plane-wave DFT calculation with PBE-GGA was carried out for a relaxed structure of DyTl2Zn.

Cell and atoms, written as POSCAR:
```
DyTl2Zn
1.0
2.327 1.344 5.316
-2.327 1.344 5.316
0.000 -2.687 5.316
Dy Tl Zn
1 2 1
direct
0.000 0.000 0.000
0.232 0.232 0.232
0.768 0.768 0.768
0.500 0.500 0.500
```

Results
total DFT energy (no corrections)	-11.0	eV for the cell shown
magnetization	0.000	μB per formula unit

***

# 14
A plane-wave DFT calculation with PBE-GGA was carried out for a relaxed structure of DyTlZn.

Cell and atoms, written as POSCAR:
```
DyTlZn
1.0
2.294 1.325 8.396
-2.294 1.325 8.396
0.000 -2.649 8.396
Dy Tl Zn
2 2 2
direct
0.067 0.067 0.067
0.933 0.933 0.933
0.197 0.197 0.197
0.803 0.803 0.803
0.328 0.328 0.328
0.672 0.672 0.672
```

Results
total DFT energy (no corrections)	-17.7	eV for the cell shown
magnetization	0.000	μB per formula unit

***

# 15
A plane-wave DFT calculation with PBE-GGA was carried out for a relaxed structure of Dy3Tl4Zn2.

Cell and atoms, written as POSCAR:
```
Dy3Tl4Zn2
1.0
5.658 -2.403 0.000
5.658 2.403 0.000
-3.852 0.000 8.180
Dy Tl Zn
3 4 2
direct
0.000 0.000 0.000
0.333 0.333 0.331
0.667 0.667 0.669
0.089 0.089 0.415
0.311 0.311 0.962
0.689 0.689 0.038
0.911 0.911 0.585
0.412 0.412 0.733
0.588 0.588 0.267
```

Results
total DFT energy (no corrections)	-28.0	eV for the cell shown
magnetization	0.000	μB per formula unit

***

# 16
A plane-wave DFT calculation with PBE-GGA was carried out for a relaxed structure of Dy2TlZn3.

Cell and atoms, written as POSCAR:
```
Dy2TlZn3
1.0
0.000 4.594 7.959
3.582 0.000 7.959
3.582 4.594 0.000
Dy Tl Zn
4 2 6
direct
0.244 0.756 0.756
0.250 0.250 0.250
0.750 0.750 0.750
0.756 0.244 0.244
0.335 0.335 0.665
0.665 0.665 0.335
0.161 0.161 0.839
0.162 0.679 0.321
0.321 0.838 0.162
0.679 0.162 0.838
0.838 0.321 0.679
0.839 0.839 0.161
```

Results
magnetization	0.001	μB per formula unit
distance to the lowest polymorph of the same formula	0.000	eV per atom

***

# 17
A plane-wave DFT calculation with PBE-GGA was carried out for a relaxed structure of Dy3TlZn2.

Cell and atoms, written as POSCAR:
```
Dy3TlZn2
1.0
3.591 0.000 0.000
0.000 3.591 0.000
0.000 0.000 11.273
Dy Tl Zn
3 1 2
direct
0.000 0.000 0.000
0.000 0.000 0.312
0.000 0.000 0.688
0.500 0.500 0.500
0.500 0.500 0.153
0.500 0.500 0.847
```

Results
total DFT energy (no corrections)	-20.8	eV for the cell shown
magnetization	0.001	μB per formula unit

***

# 18
A plane-wave DFT calculation with PBE-GGA was carried out for a relaxed structure of Dy2TlZn5.

Cell and atoms, written as POSCAR:
```
Dy2TlZn5
1.0
2.168 -8.158 0.000
2.168 8.158 0.000
0.000 0.000 9.086
Dy Tl Zn
4 2 10
direct
0.000 0.000 0.000
0.000 0.000 0.500
0.202 0.798 0.750
0.798 0.202 0.250
0.449 0.551 0.250
0.551 0.449 0.750
0.188 0.812 0.109
0.188 0.812 0.391
0.345 0.655 0.018
0.345 0.655 0.482
0.389 0.611 0.750
0.611 0.389 0.250
0.655 0.345 0.518
0.655 0.345 0.982
0.812 0.188 0.609
0.812 0.188 0.891
```

Results
total DFT energy (no corrections)	-40.6	eV for the cell shown
magnetization	0.000	μB per formula unit

***

# 19
A plane-wave DFT calculation with PBE-GGA was carried out for a relaxed structure of Dy6Tl5Zn.

Cell and atoms, written as POSCAR:
```
Dy6Tl5Zn
1.0
2.668 -8.000 0.000
2.668 8.000 0.000
0.000 0.000 7.462
Dy Tl Zn
6 5 1
direct
0.000 0.000 0.242
0.000 0.000 0.758
0.337 0.663 0.245
0.337 0.663 0.755
0.663 0.337 0.245
0.663 0.337 0.755
0.165 0.835 0.000
0.168 0.832 0.500
0.500 0.500 0.500
0.832 0.168 0.500
0.835 0.165 0.000
0.500 0.500 0.000
```

Results
total DFT energy (no corrections)	-44.8	eV for the cell shown
magnetization	0.000	μB per formula unit

***

# 20
A plane-wave DFT calculation with PBE-GGA was carried out for a relaxed structure of DyTlZn.

Cell and atoms, written as POSCAR:
```
DyTlZn
1.0
-1.761 1.761 5.766
1.761 -1.761 5.766
1.761 1.761 -5.766
Dy Tl Zn
1 1 1
direct
0.000 0.000 0.000
0.695 0.695 0.000
0.344 0.344 0.000
```

Results
total DFT energy (no corrections)	-8.7	eV for the cell shown
magnetization	0.272	μB per formula unit